[1]
# LiAl2Pt (PBE-GGA, relaxed)
data_LiAl2Pt
_symmetry_space_group_name_H-M 'P 1'
_symmetry_Int_Tables_number 1
_cell_length_a 4.2943
_cell_length_b 6.0779
_cell_length_c 12.8943
_cell_angle_alpha 90.00
_cell_angle_beta 90.00
_cell_angle_gamma 90.00
loop_
_symmetry_equiv_pos_as_xyz
'x,y,z'
loop_
_atom_site_label
_atom_site_type_symbol
_atom_site_fract_x
_atom_site_fract_y
_atom_site_fract_z
Li1 Li 0.0001 0.5000 0.6667
Al1 Al 0.9999 0.7502 0.1667
Li2 Li 0.5001 0.0000 0.8333
Al2 Al 0.5000 0.7498 0.0000
Al3 Al 0.0001 0.2498 0.8333
Pt1 Pt 0.4999 0.5000 0.1667
Al4 Al 0.4999 0.2502 0.3333
Al5 Al 0.5001 0.7498 0.6667
Al6 Al 0.9999 0.2498 0.1667
Pt2 Pt 0.5001 0.5000 0.8333
Al7 Al 0.5001 0.2502 0.6667
Pt3 Pt 0.0000 0.0000 0.0000
Pt4 Pt 0.5000 0.5000 0.5000
Pt5 Pt 0.0001 0.0000 0.6667
Al8 Al 0.0000 0.2498 0.5000
Li3 Li 0.9999 0.5000 0.3333
Al9 Al 0.0000 0.7502 0.5000
Al10 Al 0.0001 0.7502 0.8333
Al11 Al 0.5000 0.2502 0.0000
Li4 Li 0.5000 0.0000 0.5000
Al12 Al 0.4999 0.7498 0.3333
Pt6 Pt 0.9999 0.0000 0.3333
Li5 Li 0.0000 0.5000 0.0000
Li6 Li 0.4999 0.0000 0.1667
# Symmetry: Fm-3m (225)
# Volume (Å³ per cell): 336.54
# Raw total energy (eV per atom): -4.69

=====

[2]
# YBeZnNi (PBE-GGA, relaxed)
data_YBeZnNi
_symmetry_space_group_name_H-M 'P 1'
_symmetry_Int_Tables_number 1
_cell_length_a 4.4431
_cell_length_b 4.4431
_cell_length_c 4.4431
_cell_angle_alpha 60.00
_cell_angle_beta 60.00
_cell_angle_gamma 60.00
loop_
_symmetry_equiv_pos_as_xyz
'x,y,z'
loop_
_atom_site_label
_atom_site_type_symbol
_atom_site_fract_x
_atom_site_fract_y
_atom_site_fract_z
Ni1 Ni 0.7500 0.7500 0.7500
Be1 Be 0.2500 0.2500 0.2500
Zn1 Zn 0.0000 0.0000 0.0000
Y1 Y 0.5000 0.5000 0.5000
# Symmetry: F-43m (216)
# Volume (Å³ per cell): 62.02
# Raw total energy (eV per atom): -4.34

=====

[3]
# Re5W7 (PBE-GGA, relaxed)
data_Re5W7
_symmetry_space_group_name_H-M 'P 1'
_symmetry_Int_Tables_number 1
_cell_length_a 5.1740
_cell_length_b 5.1740
_cell_length_c 16.8622
_cell_angle_alpha 90.00
_cell_angle_beta 90.00
_cell_angle_gamma 120.00
loop_
_symmetry_equiv_pos_as_xyz
'x,y,z'
loop_
_atom_site_label
_atom_site_type_symbol
_atom_site_fract_x
_atom_site_fract_y
_atom_site_fract_z
Re1 Re 0.0000 0.0000 0.0971
W1 W 0.8365 0.1635 0.7500
W2 W 0.3333 0.6667 0.1232
Re2 Re 0.5000 0.0000 0.5000
W3 W 0.1635 0.3270 0.2500
W4 W 0.6667 0.3333 0.6232
Re3 Re 0.5000 0.5000 0.5000
W5 W 0.6667 0.3333 0.1466
Re4 Re 0.5000 0.5000 0.0000
W6 W 0.6667 0.3333 0.8768
Re5 Re 0.0000 0.0000 0.4029
Re6 Re 0.0000 0.5000 0.5000
W7 W 0.3333 0.6667 0.3768
W8 W 0.3333 0.6667 0.6466
W9 W 0.8365 0.6730 0.7500
Re7 Re 0.0000 0.5000 0.0000
Re8 Re 0.0000 0.0000 0.5971
W10 W 0.3333 0.6667 0.8534
W11 W 0.1635 0.8365 0.2500
Re9 Re 0.0000 0.0000 0.9029
W12 W 0.6667 0.3333 0.3534
Re10 Re 0.5000 0.0000 0.0000
W13 W 0.6730 0.8365 0.2500
W14 W 0.3270 0.1635 0.7500
# Polymorph energy (0 for the lowest one) (eV per atom): 0.139
# Symmetry: P6_3/mmc (194)
# Volume (Å³ per cell): 390.93

=====

[4]
# Er4Tm2LuNi2Te2 (PBE-GGA, relaxed)
data_Er4Tm2LuNi2Te2
_symmetry_space_group_name_H-M 'P 1'
_symmetry_Int_Tables_number 1
_cell_length_a 9.2569
_cell_length_b 9.2569
_cell_length_c 9.2569
_cell_angle_alpha 156.16
_cell_angle_beta 67.17
_cell_angle_gamma 118.25
loop_
_symmetry_equiv_pos_as_xyz
'x,y,z'
loop_
_atom_site_label
_atom_site_type_symbol
_atom_site_fract_x
_atom_site_fract_y
_atom_site_fract_z
Tm1 Tm 0.0622 0.3773 0.6850
Ni1 Ni 0.3055 0.0694 0.2361
Er1 Er 0.7164 0.5821 0.1343
Lu1 Lu 0.0005 0.0005 0.0000
Tm2 Tm 0.6923 0.3773 0.3150
Er2 Er 0.3748 0.7287 0.6461
Er3 Er 0.4477 0.5821 0.8657
Te1 Te 0.7343 0.2343 0.5000
Te2 Te 0.3385 0.3385 0.0000
Er4 Er 0.0826 0.7287 0.3539
Ni2 Ni 0.8333 0.0694 0.7639
# Polymorph energy (0 for the lowest one) (eV per atom): 0.000
# Symmetry: Imm2 (44)
# Volume (Å³ per cell): 280.16

=====

[5]
# LuHfCuSi (PBE-GGA, relaxed)
data_LuHfCuSi
_symmetry_space_group_name_H-M 'P 1'
_symmetry_Int_Tables_number 1
_cell_length_a 4.6817
_cell_length_b 4.6817
_cell_length_c 4.6817
_cell_angle_alpha 60.00
_cell_angle_beta 60.00
_cell_angle_gamma 60.00
loop_
_symmetry_equiv_pos_as_xyz
'x,y,z'
loop_
_atom_site_label
_atom_site_type_symbol
_atom_site_fract_x
_atom_site_fract_y
_atom_site_fract_z
Si1 Si 0.0000 0.0000 0.0000
Lu1 Lu 0.5000 0.5000 0.5000
Cu1 Cu 0.7500 0.7500 0.7500
Hf1 Hf 0.2500 0.2500 0.2500
# Polymorph energy (0 for the lowest one) (eV per atom): 0.000
# Symmetry: F-43m (216)
# Volume (Å³ per cell): 72.56

=====

[6]
# TbNdGa4Pt2 (PBE-GGA, relaxed)
data_TbNdGa4Pt2
_symmetry_space_group_name_H-M 'P 1'
_symmetry_Int_Tables_number 1
_cell_length_a 6.7653
_cell_length_b 5.6246
_cell_length_c 5.6246
_cell_angle_alpha 46.09
_cell_angle_beta 90.00
_cell_angle_gamma 90.00
loop_
_symmetry_equiv_pos_as_xyz
'x,y,z'
loop_
_atom_site_label
_atom_site_type_symbol
_atom_site_fract_x
_atom_site_fract_y
_atom_site_fract_z
Ga1 Ga 0.6945 0.6330 0.6330
Tb1 Tb 0.5000 0.9160 0.9160
Nd1 Nd 0.0000 0.0823 0.0823
Ga2 Ga 0.1985 0.3682 0.3682
Ga3 Ga 0.8015 0.3682 0.3682
Pt1 Pt 0.5000 0.2047 0.2047
Ga4 Ga 0.3055 0.6330 0.6330
Pt2 Pt 0.0000 0.7945 0.7945
# Symmetry: Amm2 (38)
# Volume (Å³ per cell): 154.20
# Raw total energy (eV per atom): -5.11

=====

Copy entry 4 word for word.
# Er4Tm2LuNi2Te2 (PBE-GGA, relaxed)
data_Er4Tm2LuNi2Te2
_symmetry_space_group_name_H-M 'P 1'
_symmetry_Int_Tables_number 1
_cell_length_a 9.2569
_cell_length_b 9.2569
_cell_length_c 9.2569
_cell_angle_alpha 156.16
_cell_angle_beta 67.17
_cell_angle_gamma 118.25
loop_
_symmetry_equiv_pos_as_xyz
'x,y,z'
loop_
_atom_site_label
_atom_site_type_symbol
_atom_site_fract_x
_atom_site_fract_y
_atom_site_fract_z
Tm1 Tm 0.0622 0.3773 0.6850
Ni1 Ni 0.3055 0.0694 0.2361
Er1 Er 0.7164 0.5821 0.1343
Lu1 Lu 0.0005 0.0005 0.0000
Tm2 Tm 0.6923 0.3773 0.3150
Er2 Er 0.3748 0.7287 0.6461
Er3 Er 0.4477 0.5821 0.8657
Te1 Te 0.7343 0.2343 0.5000
Te2 Te 0.3385 0.3385 0.0000
Er4 Er 0.0826 0.7287 0.3539
Ni2 Ni 0.8333 0.0694 0.7639
# Polymorph energy (0 for the lowest one) (eV per atom): 0.000
# Symmetry: Imm2 (44)
# Volume (Å³ per cell): 280.16